VReRh2 after structural relaxation. Source: Alexandria via LeMat-Bulk, functional PBE-GGA.

a b c (Å): 9.1480 9.1480 9.1480
angles (deg): 156.34 156.34 33.70
With the nearest neighbours (Å) after each atom.
Fractional positions:
1 V 0.0000 0.0000 0.0000  4 Rh 2.55, 4 Re 2.65
2 V 0.7500 0.2500 0.5000  4 Rh 2.55, 4 Re 2.65
3 Re 0.2500 0.7500 0.5000  4 Rh 2.57, 4 V 2.65
4 Re 0.5000 0.5000 0.0000  4 Rh 2.57, 4 V 2.65
5 Rh 0.1190 0.6250 0.9940  2 V 2.55, 2 Re 2.57, 4 Rh 2.62-2.68
6 Rh 0.3750 0.3690 0.4940  2 V 2.55, 2 Re 2.57, 4 Rh 2.62-2.68
7 Rh 0.6310 0.1250 0.0060  2 V 2.55, 2 Re 2.57, 4 Rh 2.62-2.68
8 Rh 0.8750 0.8810 0.5060  2 V 2.55, 2 Re 2.57, 4 Rh 2.62-2.68

distance to the lowest polymorph of the same formula	611	meV/atom
formation energy from the elements	1.429	eV per formula unit
symmetry	I-42d (122)
total DFT energy (no corrections)	-8.710	eV per atom